Computed, not measured: a relaxed V3InIr crystal at the PBE level of DFT.

Unit cell a=4.6346 b=4.6346 c=4.6346 alpha=90.00 beta=90.00 gamma=90.00
Space group Pm-3m (No. 221)
Asymmetric unit:
V1 0.0000 0.0000 0.5000 [3 per cell]
In1 0.5000 0.5000 0.5000 [1 per cell]
Ir1 0.0000 0.0000 0.0000 [1 per cell]

## Properties
Relative energy among the computed polymorphs = 0 meV/atom